No. 1
## K2YPdO4 (GGA-PBE)

Data for K2YPdO4 after structural relaxation. Values from VASP.

Total magnetic moment   0.124 μB per atom
DOS(E_F)   0.10 states/eV per cell
Mass density   4.53 Mg/m³
Formation energy from raw total energies   -1.6992 eV/atom

Cell and atoms, written as Quantum ESPRESSO input:
```
&SYSTEM
  ibrav = 0, nat = 8, ntyp = 4
/
ATOMIC_SPECIES
K 39.10 K.upf
Y 88.91 Y.upf
Pd 106.42 Pd.upf
O 16.00 O.upf
CELL_PARAMETERS angstrom
3.3305 0.0000 0.0000
0.0000 5.9535 -0.0535
0.0000 -2.2246 6.2580
ATOMIC_POSITIONS angstrom
K 1.6652 -1.1123 3.1290
K 0.0000 1.8645 3.1022
Y 1.6652 2.9767 -0.0268
Pd 0.0000 0.0000 0.0000
O 1.6652 0.8468 1.0418
O 1.6652 2.8822 5.1627
O 0.0000 -0.0192 4.9164
O 0.0000 3.7482 1.2880
```



No. 2
## K2ZnPd2O6 (GGA-PBE)

Data for K2ZnPd2O6 after structural relaxation. Values from VASP.

Total magnetic moment   0.000 μB per atom
Mass density   4.79 Mg/m³
Formation energy from raw total energies   -0.9658 eV/atom

Cell and atoms, written as Quantum ESPRESSO input:
```
&SYSTEM
  ibrav = 0, nat = 11, ntyp = 4
/
ATOMIC_SPECIES
K 39.10 K.upf
Zn 65.41 Zn.upf
Pd 106.42 Pd.upf
O 16.00 O.upf
CELL_PARAMETERS angstrom
-5.0419 -2.0522 -0.0970
3.2851 -0.9537 4.2355
-1.5476 6.0109 1.4505
ATOMIC_POSITIONS angstrom
K -3.6804 -1.8726 0.6113
K 1.9237 -1.1333 3.5271
Zn -0.7738 3.0055 0.7252
Pd -0.2694 1.6849 3.5139
Pd -3.0349 1.3201 2.0750
O -2.2834 1.8865 3.9103
O 0.0166 3.5367 2.6601
O -1.0209 1.1185 1.6786
O -2.8825 3.1543 1.1517
O -3.3209 -0.5316 2.9289
O -0.4219 -0.1492 4.4372
```



No. 3
## K2ZnPdO4 (GGA-PBE)

Data for K2ZnPdO4 after structural relaxation. Values from VASP.

Total magnetic moment   0.000 μB per atom
DOS(E_F)   0.55 states/eV per cell
Mass density   3.26 Mg/m³
Formation energy from raw total energies   -0.8356 eV/atom

Cell and atoms, written as Quantum ESPRESSO input:
```
&SYSTEM
  ibrav = 0, nat = 16, ntyp = 4
/
ATOMIC_SPECIES
K 39.10 K.upf
Zn 65.41 Zn.upf
Pd 106.42 Pd.upf
O 16.00 O.upf
CELL_PARAMETERS angstrom
5.9503 0.0000 0.0000
2.9751 6.0514 0.0000
2.9751 0.0000 8.8734
ATOMIC_POSITIONS angstrom
K 2.9751 0.0000 5.6161
K 5.9503 0.0000 3.2573
K 7.4378 3.0257 7.6940
K 7.4378 3.0257 1.1794
Zn 4.4627 3.0257 4.4367
Zn 2.9751 0.0000 0.0000
Pd 7.4378 3.0257 4.4367
Pd 0.0000 0.0000 0.0000
O 4.4303 5.0086 0.7786
O 4.4303 1.0428 8.0948
O 10.4454 5.0086 8.0948
O 4.4951 1.0428 0.7786
O 5.9827 4.0685 3.6581
O 5.9827 1.9829 5.2153
O 8.8930 4.0685 5.2153
O 2.9427 1.9829 3.6581
```



No. 4
## K3ZnPd2O6 (GGA-PBE)

Data for K3ZnPd2O6 after structural relaxation. Values from VASP.

Total magnetic moment   0.067 μB per atom
DOS(E_F)   4.09 states/eV per cell
Mass density   5.00 Mg/m³
Formation energy from raw total energies   -0.9579 eV/atom

Cell and atoms, written as Quantum ESPRESSO input:
```
&SYSTEM
  ibrav = 0, nat = 12, ntyp = 4
/
ATOMIC_SPECIES
K 39.10 K.upf
Zn 65.41 Zn.upf
Pd 106.42 Pd.upf
O 16.00 O.upf
CELL_PARAMETERS angstrom
-5.4700 -1.3069 0.1393
3.7657 -4.1699 0.2826
0.6230 2.2954 5.7068
ATOMIC_POSITIONS angstrom
K 2.5527 -2.5496 3.1123
K -3.6340 -0.6318 3.0163
K -0.5407 -1.5907 3.0643
Zn 0.0000 0.0000 0.0000
Pd 0.6819 -3.2139 0.2348
Pd -2.3862 -2.2629 0.1871
O -2.3991 -1.8608 5.0201
O -1.1077 -3.5083 1.3003
O 1.3178 -1.3206 1.1086
O 0.7831 -2.8473 5.0695
O 0.0264 0.3269 4.8283
O -1.8644 -0.3341 1.0592
```



No. 5
## KZrPd2O (GGA-PBE)

Data for KZrPd2O after structural relaxation. Values from VASP.

Total magnetic moment   0.237 μB per atom
DOS(E_F)   5.85 states/eV per cell
Mass density   6.55 Mg/m³
Formation energy from raw total energies   0.2278 eV/atom

Cell and atoms, written as Quantum ESPRESSO input:
```
&SYSTEM
  ibrav = 0, nat = 5, ntyp = 4
/
ATOMIC_SPECIES
O 16.00 O.upf
K 39.10 K.upf
Zr 91.22 Zr.upf
Pd 106.42 Pd.upf
CELL_PARAMETERS angstrom
4.4246 0.0000 0.0000
0.0000 4.6506 0.0000
0.0000 0.0000 4.4246
ATOMIC_POSITIONS angstrom
O 0.0000 0.0000 0.0000
K 0.0000 2.3253 0.0000
Zr 2.2123 2.3253 2.2123
Pd 0.0000 0.0000 2.2123
Pd 2.2123 0.0000 0.0000
```



No. 6
## K2ZrPdO4 (GGA-PBE)

Data for K2ZrPdO4 after structural relaxation. Values from VASP.

Total magnetic moment   0.000 μB per atom
Mass density   4.12 Mg/m³
Formation energy from raw total energies   -1.7928 eV/atom

Cell and atoms, written as Quantum ESPRESSO input:
```
&SYSTEM
  ibrav = 0, nat = 8, ntyp = 4
/
ATOMIC_SPECIES
K 39.10 K.upf
Zr 91.22 Zr.upf
Pd 106.42 Pd.upf
O 16.00 O.upf
CELL_PARAMETERS angstrom
-3.4087 -3.5615 2.7314
-1.2605 0.3536 -5.4818
5.3682 -1.7138 0.0947
ATOMIC_POSITIONS angstrom
K -1.3076 -1.9440 -2.7220
K 0.0000 0.0000 0.0000
Zr 2.0067 -2.9777 0.0663
Pd 2.0539 -0.6801 -2.6936
O 0.0188 -2.6788 0.0914
O 2.9840 -1.6908 -1.1299
O -2.8404 -3.0469 -0.7973
O 1.2358 -2.4268 -3.4756
```



No. 7
## KZr4Pd3O12 (GGA-PBE)

Data for KZr4Pd3O12 after structural relaxation. Values from VASP.

Total magnetic moment   0.044 μB per atom
DOS(E_F)   13.19 states/eV per cell
Mass density   5.96 Mg/m³
Formation energy from raw total energies   -2.1790 eV/atom

Cell and atoms, written as Quantum ESPRESSO input:
```
&SYSTEM
  ibrav = 0, nat = 20, ntyp = 4
/
ATOMIC_SPECIES
K 39.10 K.upf
Zr 91.22 Zr.upf
Pd 106.42 Pd.upf
O 16.00 O.upf
CELL_PARAMETERS angstrom
-3.6166 -5.7996 -1.0700
6.7601 -1.3634 -0.5497
-1.3553 2.4271 6.3350
ATOMIC_POSITIONS angstrom
K 0.0000 0.0000 0.0000
Zr -1.8083 -2.8998 -0.5350
Zr 0.8941 -2.3680 2.3576
Zr 3.3801 -0.6817 -0.2749
Zr -0.6776 1.2135 3.1675
Pd 2.7024 0.5318 2.8927
Pd 1.5717 -3.5815 -0.8099
Pd -2.4860 -1.6862 2.6325
O 4.2789 -2.5932 0.0733
O -2.4907 -2.1427 4.6419
O 2.3868 -3.8766 2.0770
O 1.3039 -5.5318 -0.2011
O -2.4901 -4.2226 1.0039
O 2.2215 -0.9181 1.5097
O 0.1077 -2.8059 0.4153
O 4.2783 -0.5133 3.7114
O -0.5986 -0.8593 2.6383
O 0.4843 0.7959 4.9164
O -0.4333 -3.8178 3.2055
O 1.6805 -1.9300 4.3000
```



No. 8
## KZrPdO4 (GGA-PBE)

Data for KZrPdO4 after structural relaxation. Values from VASP.

Total magnetic moment   0.144 μB per atom
DOS(E_F)   0.02 states/eV per cell
Mass density   4.56 Mg/m³
Formation energy from raw total energies   -1.7500 eV/atom

Cell and atoms, written as Quantum ESPRESSO input:
```
&SYSTEM
  ibrav = 0, nat = 14, ntyp = 4
/
ATOMIC_SPECIES
K 39.10 K.upf
Zr 91.22 Zr.upf
Pd 106.42 Pd.upf
O 16.00 O.upf
CELL_PARAMETERS angstrom
-1.3447 -5.8624 -2.5120
6.5728 1.4943 1.4509
-4.1305 -1.1907 4.9898
ATOMIC_POSITIONS angstrom
K 3.0959 -4.0832 -0.5848
K -1.9984 -1.4756 4.5135
Zr -2.7376 -3.5265 1.2389
Zr -0.6723 -2.9312 -1.2560
Pd 0.5488 -2.7794 1.9644
Pd 1.2211 0.1518 3.2204
O -0.8733 -4.3231 2.0999
O -1.4195 -2.0385 0.5119
O -1.9683 -4.4311 -0.5134
O 0.7242 -3.8626 0.1700
O 0.3733 -1.6962 3.7587
O 2.5170 -3.5203 3.4169
O 3.0658 -1.1277 4.4421
O 1.9709 -1.2357 1.8288
```